The following is a GGA-PBE calculation of an optimized crystal structure of CaTb2Rh, from Alexandria.

Lattice parameters (Å, degrees): 4.034 4.034 9.461 77.69 77.69 60.00
Fractional positions:
Ca  0.501  0.501  0.496
Tb  0.053  0.053  0.841
Tb  0.279  0.279  0.162
Rh  0.666  0.666  0.002

**DOS(E_F)**: 4.15 states/eV/cell
**E_form**: -9.0 kcal/mol of atoms
**Energy relative to the lowest polymorph listed for this composition**: 0.000 eV/atom
**Energy**: -5.0429 eV/atom
**Calculated volume**: 129.2 Å³ per cell

***

The following is a GGA-PBE calculation of an optimized crystal structure of BaCoNiP2, from Alexandria.

Lattice parameters (Å, degrees): 3.873 3.873 6.717 106.75 106.75 90.00
Fractional positions:
Ba  0.000  0.000  0.000
Co  0.250  0.750  0.500
Ni  0.750  0.250  0.500
P  0.659  0.659  0.318
P  0.341  0.341  0.682

**DOS(E_F)**: 4.33 states/eV/cell
**E_form**: -18.1 kcal/mol of atoms
**Energy**: -5.9090 eV/atom
**Calculated volume**: 92.0 Å³ per cell

***

The following is a GGA-PBE calculation of an optimized crystal structure of RbSiHg2Te4, from Alexandria.

Lattice parameters (Å, degrees): 7.930 7.930 7.301 122.89 122.89 90.00
Fractional positions:
Rb  0.000  0.000  0.001
Si  0.500  0.500  0.000
Hg  0.750  0.250  0.499
Hg  0.250  0.750  0.499
Te  0.539  0.539  0.700
Te  0.462  0.840  0.301
Te  0.840  0.462  0.301
Te  0.161  0.161  0.700

**DOS(E_F)**: 2.16 states/eV/cell
**Raw formation energy**: -0.278 eV/atom
**Energy**: -2.7226 eV/atom
**Calculated volume**: 294.1 Å³ per cell

***

The following is a GGA-PBE calculation of an optimized crystal structure of CdAgSn, from Alexandria.

Lattice parameters (Å, degrees): 3.322 3.322 12.832 97.44 97.44 90.00
Fractional positions:
Ag  0.283  0.283  0.566
Ag  0.717  0.717  0.434
Cd  0.148  0.148  0.297
Cd  0.852  0.852  0.703
Sn  0.560  0.560  0.121
Sn  0.440  0.440  0.879

**DOS(E_F)**: 1.68 states/eV/cell
**E_form**: 0.9 kcal/mol of atoms
**Energy**: -2.5520 eV/atom
**Calculated volume**: 139.2 Å³ per cell

***

The following is a GGA-PBE calculation of an optimized crystal structure of NaTe3Rh, from Alexandria.

Lattice parameters (Å, degrees): 5.336 5.336 5.336 90.00 90.00 90.00
Fractional positions:
Na  0.000  0.000  0.000
Te  0.000  0.500  0.000
Te  0.000  0.000  0.500
Te  0.500  0.000  0.000
Rh  0.500  0.500  0.500

**DOS(E_F)**: 8.10 states/eV/cell
**Raw formation energy**: 1.098 eV/atom
**Energy relative to the lowest polymorph listed for this composition**: 1.131 eV/atom
**Energy**: -2.5215 eV/atom
**Calculated volume**: 152.0 Å³ per cell

***

The following is a GGA-PBE calculation of an optimized crystal structure of CuH4I2O8, from Alexandria.

Lattice parameters (Å, degrees): 4.978 6.712 11.452 75.54 90.00 90.00
Fractional positions:
Cu  0.500  0.000  0.500
Cu  0.000  0.000  0.000
H  0.391  0.820  0.922
H  0.109  0.820  0.422
H  0.245  0.663  0.540
H  0.745  0.337  0.960
H  0.255  0.663  0.040
H  0.755  0.337  0.460
H  0.891  0.180  0.578
H  0.609  0.180  0.078
I  0.842  0.737  0.767
I  0.658  0.737  0.267
I  0.342  0.263  0.733
I  0.158  0.263  0.233
O  0.654  0.919  0.834
O  0.215  0.776  0.965
O  0.846  0.919  0.334
O  0.697  0.786  0.614
O  0.285  0.776  0.465
O  0.653  0.504  0.838
O  0.803  0.786  0.114
O  0.153  0.496  0.662
O  0.847  0.504  0.338
O  0.197  0.214  0.886
O  0.347  0.496  0.162
O  0.715  0.224  0.535
O  0.303  0.214  0.386
O  0.154  0.081  0.666
O  0.785  0.224  0.035
O  0.346  0.081  0.166

**Energy**: -4.6485 eV/atom
**Calculated volume**: 370.5 Å³ per cell

***

The following is a GGA-PBE calculation of an optimized crystal structure of CrCd4, from Alexandria.

Lattice parameters (Å, degrees): 5.334 5.334 5.334 99.54 99.54 131.96
Fractional positions:
Cr  0.000  0.000  0.000
Cd  0.207  0.600  0.807
Cd  0.793  0.400  0.193
Cd  0.400  0.207  0.606
Cd  0.600  0.793  0.394

**DOS(E_F)**: 1.83 states/eV/cell
**E_form**: 4.5 kcal/mol of atoms
**Energy**: -2.4632 eV/atom
**Calculated volume**: 103.1 Å³ per cell

***

The following is a GGA-PBE calculation of an optimized crystal structure of BeMoP2S, from Alexandria.

Lattice parameters (Å, degrees): 4.769 4.769 4.531 90.00 90.00 90.00
Fractional positions:
P  0.000  0.500  0.000
P  0.500  0.000  0.000
Mo  0.000  0.000  0.000
S  0.000  0.000  0.500
Be  0.500  0.500  0.500

**DOS(E_F)**: 3.83 states/eV/cell
**Raw formation energy**: 0.821 eV/atom
**Energy relative to the lowest polymorph listed for this composition**: 0.037 eV/atom
**Energy**: -5.0799 eV/atom
**Calculated volume**: 103.1 Å³ per cell

***

The lowest calculated volume belongs to which entry?
BaCoNiP2